No. 1
AsPbO3 PBEsol optimized geometry; ΔE_f (raw) = -1.0504 eV per atom; total moment = 0.00 μB per formula unit; final energy = -6.021 eV/atom
1.0
3.9503 0.0000 0.0000
0.0000 3.9503 0.0000
0.0000 0.0000 3.9503
As Pb O
1 1 3
direct
0.0000 0.0000 0.0000 As
0.5000 0.5000 0.5000 Pb
0.0000 0.0000 0.5000 O
0.0000 0.5000 0.0000 O
0.5000 0.0000 0.0000 O

=====

No. 2
Na2MnCoRe PBEsol optimized geometry; formation energy = 1061 kJ/mol of formula units; total moment = 7.29 μB per formula unit; final energy = -4.527 eV/atom
1.0
4.9214 0.0000 0.0000
0.0000 4.9214 0.0000
0.0000 0.0000 4.1103
Na Mn Co Re
2 1 1 1
direct
0.0000 0.5000 0.0000 Na
0.5000 0.0000 0.0000 Na
0.0000 0.0000 0.0000 Mn
0.0000 0.0000 0.5000 Co
0.5000 0.5000 0.5000 Re

=====

No. 3
CaSnPt PBEsol optimized geometry; formation energy = -269 kJ/mol of formula units; total moment = 0.00 μB per formula unit; final energy = -5.383 eV/atom
1.0
7.2522 0.0000 0.0000
0.0000 4.5729 0.0000
0.0000 0.0000 7.8859
Ca Sn Pt
4 4 4
direct
0.0183 0.2500 0.1872 Ca
0.4817 0.7500 0.6872 Ca
0.5183 0.2500 0.3128 Ca
0.9817 0.7500 0.8128 Ca
0.1682 0.2500 0.5747 Sn
0.3318 0.7500 0.0747 Sn
0.6682 0.2500 0.9253 Sn
0.8318 0.7500 0.4253 Sn
0.2112 0.7500 0.3957 Pt
0.2888 0.2500 0.8957 Pt
0.7112 0.7500 0.1043 Pt
0.7888 0.2500 0.6043 Pt

=====

No. 4
KLiH2Pd PBEsol optimized geometry; total moment = 0.00 μB per formula unit; final energy = -2.629 eV/atom
1.0
4.1527 0.0000 0.0000
0.0000 4.1527 0.0000
0.0000 0.0000 4.5721
K Li H Pd
1 1 2 1
direct
0.0000 0.0000 0.0000 K
0.5000 0.5000 0.5000 Li
0.0000 0.5000 0.5000 H
0.5000 0.0000 0.5000 H
0.5000 0.5000 0.0000 Pd

=====

No. 5
Ba2ZnAu PBEsol optimized geometry; formation energy = -156 kJ/mol of formula units; total moment = 0.00 μB per formula unit; final energy = -2.856 eV/atom
1.0
4.6790 0.0000 0.0000
0.0000 2.3330 6.0368
0.0000 -2.3330 6.0368
Ba Zn Au
2 1 1
direct
0.0000 0.0000 0.0000 Ba
0.5000 0.2846 0.2846 Ba
0.0000 0.6995 0.6995 Zn
0.5000 0.5860 0.5860 Au

=====

No. 6
ScGa2Cu2 PBEsol optimized geometry; formation energy = -166 kJ/mol of formula units; total moment = 0.00 μB per formula unit; final energy = -4.734 eV/atom
1.0
-1.9036 1.9036 5.2996
1.9036 -1.9036 5.2996
1.9036 1.9036 -5.2996
Sc Ga Cu
1 2 2
direct
0.0000 0.0000 0.0000 Sc
0.3870 0.3870 0.0000 Ga
0.6130 0.6130 0.0000 Ga
0.2500 0.7500 0.5000 Cu
0.7500 0.2500 0.5000 Cu

=====

No. 7
La2AlSi PBEsol optimized geometry; ΔE_f (raw) = -0.4302 eV per atom; total moment = 0.00 μB per formula unit; final energy = -5.563 eV/atom
1.0
4.8452 0.0000 0.0000
0.0000 4.8452 0.0000
0.0000 0.0000 4.2150
La Al Si
2 1 1
direct
0.0000 0.5000 0.0000 La
0.5000 0.0000 0.0000 La
0.0000 0.0000 0.5000 Al
0.5000 0.5000 0.5000 Si

=====

No. 8
SiTeIr2 PBEsol optimized geometry; ΔE_f (raw) = 0.2968 eV per atom; total moment = 0.00 μB per formula unit; final energy = -6.933 eV/atom
1.0
4.2274 0.0000 0.0000
0.0000 4.2274 0.0000
0.0000 0.0000 3.5475
Si Te Ir
1 1 2
direct
0.0000 0.0000 0.0000 Si
0.5000 0.5000 0.0000 Te
0.0000 0.5000 0.5000 Ir
0.5000 0.0000 0.5000 Ir

=====

No. 9
PI2NF PBEsol optimized geometry; ΔE_f (raw) = 0.2699 eV per atom; total moment = 0.39 μB per formula unit; final energy = -3.686 eV/atom
1.0
5.5591 0.0000 0.0000
0.0000 5.5591 0.0000
0.0000 0.0000 3.1885
P I N F
1 2 1 1
direct
0.0000 0.0000 0.0000 P
0.0000 0.5000 0.0000 I
0.5000 0.0000 0.0000 I
0.0000 0.0000 0.5000 N
0.5000 0.5000 0.5000 F

=====

No. 10
Cd2PCl2 PBEsol optimized geometry; ΔE_f (raw) = -0.6658 eV per atom; total moment = 0.00 μB per formula unit; final energy = -3.106 eV/atom
1.0
7.7011 0.0000 0.0000
0.0000 8.8880 0.0000
-3.9196 0.0000 6.8955
Cd P Cl
8 4 8
direct
0.0301 0.2009 0.2050 Cd
0.0301 0.2991 0.7050 Cd
0.4331 0.5818 0.2299 Cd
0.4331 0.9182 0.7299 Cd
0.5669 0.0818 0.2701 Cd
0.5669 0.4182 0.7701 Cd
0.9699 0.7009 0.2950 Cd
0.9699 0.7991 0.7950 Cd
0.0672 0.6096 0.0575 P
0.0672 0.8904 0.5575 P
0.9328 0.1096 0.4425 P
0.9328 0.3904 0.9425 P
0.2419 0.5329 0.6947 Cl
0.2419 0.9671 0.1947 Cl
0.4193 0.1972 0.9202 Cl
0.4193 0.3028 0.4202 Cl
0.5807 0.6972 0.5798 Cl
0.5807 0.8028 0.0798 Cl
0.7581 0.0329 0.8053 Cl
0.7581 0.4671 0.3053 Cl

=====

No. 11
K2TlMo PBEsol optimized geometry; formation energy = 351 kJ/mol of formula units; total moment = 0.00 μB per formula unit; final energy = -3.257 eV/atom
1.0
3.0625 0.0000 0.0000
0.0000 3.0625 0.0000
0.0000 0.0000 11.9435
K Tl Mo
2 1 1
direct
0.0000 0.0000 0.0000 K
0.5000 0.5000 0.3603 K
0.0000 0.0000 0.5891 Tl
0.5000 0.5000 0.7675 Mo

=====

No. 12
PC PBEsol optimized geometry; formation energy = 310 kJ/mol of formula units; total moment = 0.00 μB per formula unit; final energy = -6.114 eV/atom
1.0
5.1194 0.0000 0.0000
-2.5597 4.4335 0.0000
0.0000 0.0000 2.6389
P C
3 3
direct
0.0000 0.0000 0.0000 P
0.3333 0.6667 0.5000 P
0.6667 0.3333 0.5000 P
0.0000 0.5000 0.0000 C
0.5000 0.0000 0.0000 C
0.5000 0.5000 0.0000 C

=====

Question: Among the records above, which one has the highest total moment?
Answer: Na2MnCoRe

=====

Question: Among the records above, which one has the highest total moment?
Answer: Na2MnCoRe

=====

Question: Look up the total moment of the fifth one.
Answer: 0.00 μB per formula unit